Entry 1:
Below is a relaxed Tb6PrSe8 crystal, with properties calculated at the PBE-GGA level.

Output
- DOS at the Fermi energy: 23.6 states/eV/cell
- Electronic total energy: -352.2 eV for the cell shown
- Formation energy (no corrections): -1.8406 eV per atom

The structure in CIF format:
```
data_Tb6PrSe8
_chemical_formula_sum 'Tb24 Pr4 Se32'
_symmetry_space_group_name_H-M 'F m -3 m'
_symmetry_Int_Tables_number 225
_symmetry_space_group_name_Hall '-F 4 2 3'
_cell_length_a 11.574
_cell_length_b 11.574
_cell_length_c 11.574
_cell_angle_alpha 90.00
_cell_angle_beta 90.00
_cell_angle_gamma 90.00
loop_
_atom_site_label
_atom_site_fract_x
_atom_site_fract_y
_atom_site_fract_z
Tb1 0.000 0.250 0.250
Pr1 0.000 0.000 0.000
Se1 0.000 0.000 0.260
Se2 0.250 0.250 0.250
```

Entry 2:
Below is a relaxed PaTcNi crystal, with properties calculated at the PBE-GGA level.

Output
- DOS at the Fermi energy: 5.0 states/eV/cell
- Energy relative to the lowest polymorph listed for this composition: 0.000 eV per formula unit
- Electronic total energy: -53.3 eV for the cell shown
- Formation energy: -97 kJ/mol of formula units

The structure in CIF format:
```
data_PaTcNi
_chemical_formula_sum 'Pa2 Tc2 Ni2'
_symmetry_space_group_name_H-M 'P 63/m m c'
_symmetry_Int_Tables_number 194
_symmetry_space_group_name_Hall '-P 6c 2c'
_cell_length_a 4.4960
_cell_length_b 4.4960
_cell_length_c 5.7902
_cell_angle_alpha 90.00
_cell_angle_beta 90.00
_cell_angle_gamma 120.00
loop_
_atom_site_label
_atom_site_fract_x
_atom_site_fract_y
_atom_site_fract_z
Pa1 0.3333 0.6667 0.2500
Tc1 0.0000 0.0000 0.0000
Ni1 0.3333 0.6667 0.7500
```

Entry 3:
Below is a relaxed Na2Tl2InO6 crystal, with properties calculated at the PBE-GGA level.

Output
- DOS at the Fermi energy: 11.0 states/eV/cell
- Electronic total energy: -102.3 eV for the cell shown
- Formation energy (no corrections): -1.0261 eV per atom

The structure in CIF format:
```
data_Na2Tl2InO6
_chemical_formula_sum 'Na4 Tl4 In2 O12'
_symmetry_space_group_name_H-M 'C 1 2/m 1'
_symmetry_Int_Tables_number 12
_symmetry_space_group_name_Hall '-C 2y'
_cell_length_a 5.932
_cell_length_b 9.987
_cell_length_c 6.013
_cell_angle_alpha 90.00
_cell_angle_beta 110.54
_cell_angle_gamma 90.00
loop_
_atom_site_label
_atom_site_fract_x
_atom_site_fract_y
_atom_site_fract_z
Na1 0.000 0.171 0.000
Tl1 0.000 0.335 0.500
In1 0.000 0.000 0.500
O1 0.220 0.168 0.715
O2 0.248 0.000 0.300
```

Entry 4:
Below is a relaxed V2GeMo crystal, with properties calculated at the PBE-GGA level.

Output
- DOS at the Fermi energy: 5.4 states/eV/cell
- Electronic total energy: -67.7 eV for the cell shown
- Formation energy: -17 kJ/mol of formula units

The structure in CIF format:
```
data_V2GeMo
_chemical_formula_sum 'V4 Ge2 Mo2'
_symmetry_space_group_name_H-M 'P 1'
_symmetry_Int_Tables_number 1
_symmetry_space_group_name_Hall 'P 1'
_cell_length_a 3.062
_cell_length_b 4.288
_cell_length_c 9.228
_cell_angle_alpha 103.13
_cell_angle_beta 99.16
_cell_angle_gamma 91.47
loop_
_atom_site_label
_atom_site_fract_x
_atom_site_fract_y
_atom_site_fract_z
V1 0.000 0.000 0.000
V2 0.122 0.997 0.488
V3 0.362 0.488 0.488
V4 0.488 0.488 0.976
Ge1 0.105 0.605 0.211
Ge2 0.383 0.884 0.765
Mo1 0.622 0.122 0.245
Mo2 0.866 0.367 0.731
```

Entry 5:
Below is a relaxed Hf2Ti2Co3 crystal, with properties calculated at the PBE-GGA level.

Output
- DOS at the Fermi energy: 8.2 states/eV/cell
- Electronic total energy: -58.6 eV for the cell shown
- Formation energy: -153 kJ/mol of formula units

The structure in CIF format:
```
data_Hf2Ti2Co3
_chemical_formula_sum 'Hf2 Ti2 Co3'
_symmetry_space_group_name_H-M 'P -1'
_symmetry_Int_Tables_number 2
_symmetry_space_group_name_Hall '-P 1'
_cell_length_a 3.201
_cell_length_b 5.284
_cell_length_c 6.615
_cell_angle_alpha 84.70
_cell_angle_beta 89.96
_cell_angle_gamma 72.45
loop_
_atom_site_label
_atom_site_fract_x
_atom_site_fract_y
_atom_site_fract_z
Hf1 0.075 0.350 0.206
Ti1 0.195 0.111 0.646
Co1 0.359 0.781 0.081
Co2 0.500 0.500 0.500
```

Entry 6:
Below is a relaxed Hf3Be2NbN crystal, with properties calculated at the PBE-GGA level.

Output
- DOS at the Fermi energy: 8.6 states/eV/cell
- Electronic total energy: -115.2 eV for the cell shown
- Formation energy (no corrections): -0.2711 eV per atom

The structure in CIF format:
```
data_Hf3Be2NbN
_chemical_formula_sum 'Hf6 Be4 Nb2 N2'
_symmetry_space_group_name_H-M 'I m m m'
_symmetry_Int_Tables_number 71
_symmetry_space_group_name_Hall '-I 2 2'
_cell_length_a 4.103
_cell_length_b 4.203
_cell_length_c 13.429
_cell_angle_alpha 90.00
_cell_angle_beta 90.00
_cell_angle_gamma 90.00
loop_
_atom_site_label
_atom_site_fract_x
_atom_site_fract_y
_atom_site_fract_z
Hf1 0.000 0.000 0.000
Hf2 0.000 0.500 0.173
Be1 0.000 0.500 0.372
Nb1 0.000 0.000 0.500
N1 0.000 0.500 0.000
```